# CaWNF2 | Alexandria | GGA+U | optimized geometry
data_CaWNF2
_chemical_formula_sum 'Ca1 W1 N1 F2'
_cell_length_a 4.112
_cell_length_b 4.112
_cell_length_c 5.005
_cell_angle_alpha 90.00
_cell_angle_beta 90.00
_cell_angle_gamma 90.00
_symmetry_space_group_name_H-M 'P 4/m m m'
_symmetry_Int_Tables_number 123
_symmetry_space_group_name_Hall '-P 4 2'
loop_
_atom_site_label
_atom_site_type_symbol
_atom_site_fract_x
_atom_site_fract_y
_atom_site_fract_z
_atom_site_occupancy
Ca1 Ca 0.000 0.000 0.000 1
W1 W 0.500 0.500 0.500 1
N1 N 0.000 0.000 0.500 1
F1 F 0.000 0.500 0.000 1
# Magnetization ... 2.989 Bohr magnetons per cell
# Electronic total energy ... -25.14 eV for the cell shown